# 1
Below is a relaxed structure of Ba2YCr, with properties calculated at the PBE level.

Properties
Offset from the most stable computed form ... 238 meV per atom
Calculated density ... 4.3 g/cm³
DFT formation energy ... 631 meV/atom
M_tot ... 4.7 μB/f.u.
Space-group type ... P4/mmm

Cell and atoms, written as extended XYZ:
```
4
Lattice="6.071 0.000 0.000 0.000 6.071 0.000 0.000 0.000 4.331" Properties=species:S:1:pos:R:3 pbc="T T T"
Ba 0.000 0.000 0.000
Ba 3.035 3.035 0.000
Cr 3.035 0.000 2.165
Y 0.000 3.035 2.165
```

# 2
Below is a relaxed structure of PuSbCl6, with properties calculated at the PBE level.

Properties
Calculated density ... 3.9 g/cm³
M_tot ... 5.0 μB/f.u.
Uncorrected formation energy ... -1.3327 eV/atom
Space-group type ... R-3

Cell and atoms, written as extended XYZ:
```
8
Lattice="5.985 0.008 3.120 2.169 5.569 3.137 -0.037 -0.046 7.379" Properties=species:S:1:pos:R:3 pbc="T T T"
Pu 4.058 2.765 6.818
Sb 0.000 0.000 0.000
Cl 1.406 2.200 7.119
Cl 4.664 0.495 8.206
Cl 4.118 1.387 4.465
Cl 3.453 5.035 5.431
Cl 6.710 3.330 6.518
Cl 3.999 4.143 9.172
```

# 3
Below is a relaxed structure of Na3TaTe, with properties calculated at the PBE level.

Properties
Offset from the most stable computed form ... 0 meV per atom
Calculated density ... 3.2 g/cm³
M_tot ... 4.0 μB/f.u.
Uncorrected formation energy ... 0.8733 eV/atom
Space-group type ... Pm-3m

Cell and atoms, written as extended XYZ:
```
5
Lattice="5.811 0.000 0.000 0.000 5.811 0.000 0.000 0.000 5.811" Properties=species:S:1:pos:R:3 pbc="T T T"
Na 0.000 2.906 0.000
Na 0.000 0.000 2.906
Na 2.906 0.000 0.000
Te 0.000 0.000 0.000
Ta 2.906 2.906 2.906
```

Number 1: total energy -4.35 eV per atom. Number 2: total energy -5.02 eV per atom. Number 3: total energy -2.92 eV per atom.